(1)
# CdTe2Pt | Alexandria via LeMat-Bulk | PBEsol | optimized geometry
# - formation energy (no corrections) (eV per atom) = 0.014
# - electronic total energy (eV per atom) = -3.789
data_CdTe2Pt
_space_group_name_H-M_alt 'P 1'
_space_group_IT_number 1
_cell_length_a 3.6287
_cell_length_b 3.6287
_cell_length_c 7.3894
_cell_angle_alpha 90.00
_cell_angle_beta 90.00
_cell_angle_gamma 90.00
loop_
_space_group_symop_operation_xyz
'x,y,z'
loop_
_atom_site_label
_atom_site_fract_x
_atom_site_fract_y
_atom_site_fract_z
Te1 0.5000 0.5000 0.3205
Pt1 0.5000 0.5000 0.7654
Te2 0.0000 0.0000 0.8986
Cd1 0.0000 0.0000 0.5154

(2)
# CdTePt3 | Alexandria via LeMat-Bulk | PBEsol | optimized geometry
# - formation energy (no corrections) (eV per atom) = 1.272
# - electronic total energy (eV per atom) = -3.851
data_CdTePt3
_space_group_name_H-M_alt 'P 1'
_space_group_IT_number 1
_cell_length_a 4.8544
_cell_length_b 4.8544
_cell_length_c 4.8544
_cell_angle_alpha 90.00
_cell_angle_beta 90.00
_cell_angle_gamma 90.00
loop_
_space_group_symop_operation_xyz
'x,y,z'
loop_
_atom_site_label
_atom_site_fract_x
_atom_site_fract_y
_atom_site_fract_z
Pt1 0.0000 0.0000 0.5000
Te1 0.5000 0.5000 0.5000
Pt2 0.0000 0.5000 0.0000
Pt3 0.5000 0.0000 0.0000
Cd1 0.0000 0.0000 0.0000

(3)
# Cd2TePt | Alexandria via LeMat-Bulk | PBEsol | optimized geometry
# - formation energy (no corrections) (eV per atom) = 0.019
# - electronic total energy (eV per atom) = -3.202
data_Cd2TePt
_space_group_name_H-M_alt 'P 1'
_space_group_IT_number 1
_cell_length_a 3.8871
_cell_length_b 4.6698
_cell_length_c 4.6698
_cell_angle_alpha 104.51
_cell_angle_beta 90.00
_cell_angle_gamma 90.00
loop_
_space_group_symop_operation_xyz
'x,y,z'
loop_
_atom_site_label
_atom_site_fract_x
_atom_site_fract_y
_atom_site_fract_z
Cd1 0.0000 0.0000 0.5000
Pt1 0.5000 0.0000 0.0000
Te1 0.5000 0.5000 0.5000
Cd2 0.0000 0.5000 0.0000

(4)
# ThCdPt2 | Alexandria via LeMat-Bulk | PBEsol | optimized geometry
# - electronic total energy (eV per atom) = -6.605
# - energy relative to the elements (meV/atom) = -797
data_ThCdPt2
_space_group_name_H-M_alt 'P 1'
_space_group_IT_number 1
_cell_length_a 4.8643
_cell_length_b 4.8643
_cell_length_c 4.8643
_cell_angle_alpha 60.00
_cell_angle_beta 60.00
_cell_angle_gamma 60.00
loop_
_space_group_symop_operation_xyz
'x,y,z'
loop_
_atom_site_label
_atom_site_fract_x
_atom_site_fract_y
_atom_site_fract_z
Cd1 0.0000 0.0000 0.0000
Pt1 0.2500 0.2500 0.2500
Pt2 0.7500 0.7500 0.7500
Th1 0.5000 0.5000 0.5000

(5)
# CdPtW | Alexandria via LeMat-Bulk | PBEsol | optimized geometry
# - electronic total energy (eV per atom) = -6.542
# - energy relative to the elements (meV/atom) = 780
data_CdPtW
_space_group_name_H-M_alt 'P 1'
_space_group_IT_number 1
_cell_length_a 4.3378
_cell_length_b 4.3378
_cell_length_c 4.3378
_cell_angle_alpha 60.00
_cell_angle_beta 60.00
_cell_angle_gamma 60.00
loop_
_space_group_symop_operation_xyz
'x,y,z'
loop_
_atom_site_label
_atom_site_fract_x
_atom_site_fract_y
_atom_site_fract_z
Cd1 0.0000 0.0000 0.0000
Pt1 0.5000 0.5000 0.5000
W1 0.2500 0.2500 0.2500

(6)
# Y3CdPt | Alexandria via LeMat-Bulk | PBEsol | optimized geometry
# - electronic total energy (eV per atom) = -6.042
# - energy relative to the elements (meV/atom) = -316
data_Y3CdPt
_space_group_name_H-M_alt 'P 1'
_space_group_IT_number 1
_cell_length_a 5.3500
_cell_length_b 5.3500
_cell_length_c 5.3500
_cell_angle_alpha 90.00
_cell_angle_beta 90.00
_cell_angle_gamma 90.00
loop_
_space_group_symop_operation_xyz
'x,y,z'
loop_
_atom_site_label
_atom_site_fract_x
_atom_site_fract_y
_atom_site_fract_z
Y1 0.0000 0.5000 0.0000
Cd1 0.5000 0.5000 0.5000
Pt1 0.0000 0.0000 0.0000
Y2 0.5000 0.0000 0.0000
Y3 0.0000 0.0000 0.5000